No. 1
Crystalline BaSrLi at its relaxed geometry, computed with PBE.

a b c (Å): 9.161 9.161 7.145
angles (deg): 102.78 102.78 29.65
Fractional coordinates of all 6 atoms:
Ba 0.146 0.146 0.330
Ba 0.854 0.854 0.670
Sr 0.426 0.426 0.211
Sr 0.574 0.574 0.789
Li 0.233 0.233 0.878
Li 0.767 0.767 0.122

Calculated values
E above lowest polymorph   0.010 eV/atom
Formation energy   0.0388 eV/atom
Total energy   -1.8007 eV/atom
SG   No. 12


No. 2
Crystalline BaSrLi3 at its relaxed geometry, computed with PBE.

a b c (Å): 8.616 8.714 10.150
angles (deg): 90.00 90.00 90.00
Fractional coordinates of all 20 atoms:
Ba 0.184 0.175 0.000
Ba 0.316 0.675 0.500
Ba 0.684 0.325 0.500
Ba 0.816 0.825 0.000
Sr 0.182 0.174 0.500
Sr 0.318 0.674 0.000
Sr 0.682 0.326 0.000
Sr 0.818 0.826 0.500
Li 0.000 0.500 0.247
Li 0.000 0.500 0.753
Li 0.120 0.876 0.250
Li 0.120 0.876 0.750
Li 0.380 0.376 0.250
Li 0.380 0.376 0.750
Li 0.500 0.000 0.253
Li 0.500 0.000 0.747
Li 0.620 0.624 0.250
Li 0.620 0.624 0.750
Li 0.880 0.124 0.250
Li 0.880 0.124 0.750

Calculated values
E above lowest polymorph   0.000 eV/atom
Formation energy   0.0660 eV/atom
Total energy   -1.8032 eV/atom
SG   No. 58


No. 3
Crystalline BaSrLi2 at its relaxed geometry, computed with PBE.

a b c (Å): 6.048 6.048 6.048
angles (deg): 60.00 60.00 60.00
Fractional coordinates of all 4 atoms:
Ba 0.000 0.000 0.000
Sr 0.750 0.750 0.750
Li 0.250 0.250 0.250
Li 0.500 0.500 0.500

Calculated values
E above lowest polymorph   0.134 eV/atom
Formation energy   0.1661 eV/atom
Total energy   -1.6919 eV/atom
SG   No. 216


No. 4
Crystalline Ba2Sr2Li at its relaxed geometry, computed with PBE.

a b c (Å): 8.919 8.919 6.842
angles (deg): 90.00 90.00 90.00
Fractional coordinates of all 10 atoms:
Ba 0.172 0.328 0.000
Ba 0.328 0.828 0.000
Ba 0.672 0.172 0.000
Ba 0.828 0.672 0.000
Sr 0.154 0.654 0.500
Sr 0.346 0.154 0.500
Sr 0.654 0.846 0.500
Sr 0.846 0.346 0.500
Li 0.000 0.000 0.500
Li 0.500 0.500 0.500

Calculated values
E above lowest polymorph   0.118 eV/atom
Formation energy   0.1368 eV/atom
Total energy   -1.6878 eV/atom
SG   No. 127


No. 5
Crystalline BaSrLi2 at its relaxed geometry, computed with PBE.

a b c (Å): 6.132 6.132 4.280
angles (deg): 90.00 90.00 90.11
Fractional coordinates of all 4 atoms:
Ba 0.000 0.000 0.000
Sr 0.500 0.500 0.000
Li 0.000 0.500 0.500
Li 0.500 0.000 0.500

Calculated values
E above lowest polymorph   0.011 eV/atom
Formation energy   0.0426 eV/atom
Total energy   -1.8154 eV/atom
SG   No. 65


No. 6
Crystalline Ba4SrLi at its relaxed geometry, computed with PBE.

a b c (Å): 8.063 8.063 8.063
angles (deg): 60.00 60.00 60.00
Fractional coordinates of all 6 atoms:
Ba 0.125 0.125 0.125
Ba 0.125 0.125 0.625
Ba 0.125 0.625 0.125
Ba 0.625 0.125 0.125
Sr 0.500 0.500 0.500
Li 0.750 0.750 0.750

Calculated values
E above lowest polymorph   0.249 eV/atom
Formation energy   0.2725 eV/atom
Total energy   -1.6086 eV/atom
SG   No. 216


No. 7
Crystalline Ba3Sr12Li at its relaxed geometry, computed with PBE.

a b c (Å): 6.083 6.083 23.732
angles (deg): 90.00 90.00 90.00
Fractional coordinates of all 16 atoms:
Ba 0.000 0.000 0.000
Ba 0.000 0.000 0.259
Ba 0.000 0.000 0.741
Sr 0.000 0.500 0.130
Sr 0.000 0.500 0.390
Sr 0.000 0.500 0.610
Sr 0.000 0.500 0.870
Sr 0.500 0.000 0.130
Sr 0.500 0.000 0.390
Sr 0.500 0.000 0.610
Sr 0.500 0.000 0.870
Sr 0.500 0.500 0.000
Sr 0.500 0.500 0.262
Sr 0.500 0.500 0.500
Sr 0.500 0.500 0.738
Li 0.000 0.000 0.500

Calculated values
Formation energy   0.0250 eV/atom
Total energy   -1.7165 eV/atom
SG   No. 123


No. 8
Crystalline Ba2SrLi at its relaxed geometry, computed with PBE.

a b c (Å): 10.400 10.400 10.400
angles (deg): 153.22 153.09 38.33
Fractional coordinates of all 4 atoms:
Ba 0.000 0.000 0.000
Ba 0.293 0.293 0.000
Sr 0.647 0.647 0.000
Li 0.467 0.467 0.000

Calculated values
E above lowest polymorph   0.154 eV/atom
Formation energy   0.1781 eV/atom
Total energy   -1.6822 eV/atom
SG   No. 44


No. 9
Crystalline Ba3Sr2Li at its relaxed geometry, computed with PBE.

a b c (Å): 6.319 10.765 10.108
angles (deg): 90.00 108.21 90.00
Fractional coordinates of all 12 atoms:
Ba 0.000 0.234 0.000
Ba 0.000 0.766 0.000
Ba 0.326 0.212 0.653
Ba 0.326 0.788 0.653
Ba 0.674 0.212 0.347
Ba 0.674 0.788 0.347
Sr 0.169 0.500 0.338
Sr 0.500 0.000 0.000
Sr 0.500 0.500 0.000
Sr 0.831 0.500 0.662
Li 0.149 0.000 0.298
Li 0.851 0.000 0.702

Calculated values
Formation energy   0.0428 eV/atom
Total energy   -1.7981 eV/atom
SG   No. 10


No. 10
Crystalline BaSrLi2 at its relaxed geometry, computed with PBE.

a b c (Å): 9.207 9.207 9.207
angles (deg): 29.91 29.91 29.91
Fractional coordinates of all 4 atoms:
Ba 0.000 0.000 0.000
Sr 0.193 0.193 0.193
Li 0.435 0.435 0.435
Li 0.767 0.767 0.767

Calculated values
E above lowest polymorph   0.046 eV/atom
Formation energy   0.0778 eV/atom
Total energy   -1.7802 eV/atom
SG   No. 160


No. 11
Crystalline BaSrLi2 at its relaxed geometry, computed with PBE.

a b c (Å): 7.034 7.034 6.187
angles (deg): 111.01 111.01 34.12
Fractional coordinates of all 4 atoms:
Ba 0.000 0.000 0.000
Sr 0.794 0.794 0.332
Li 0.235 0.235 0.775
Li 0.559 0.559 0.548

Calculated values
E above lowest polymorph   0.023 eV/atom
Formation energy   0.0548 eV/atom
Total energy   -1.8033 eV/atom
SG   No. 8


No. 12
Crystalline Ba2SrLi9 at its relaxed geometry, computed with PBE.

a b c (Å): 10.787 10.787 10.787
angles (deg): 34.82 34.82 34.82
Fractional coordinates of all 12 atoms:
Ba 0.140 0.140 0.140
Ba 0.860 0.860 0.860
Sr 0.000 0.000 0.000
Li 0.082 0.576 0.576
Li 0.331 0.331 0.331
Li 0.424 0.424 0.918
Li 0.424 0.918 0.424
Li 0.500 0.500 0.500
Li 0.576 0.082 0.576
Li 0.576 0.576 0.082
Li 0.669 0.669 0.669
Li 0.918 0.424 0.424

Calculated values
Formation energy   0.0224 eV/atom
Total energy   -1.8736 eV/atom
SG   No. 166


- formation energy of number 6 (Ba4SrLi)?
  0.2725 eV/atom


- The highest formation energy belongs to which entry?
  Ba4SrLi


- What is the total energy in the sixth record?
  -1.6086 eV/atom


- formation energy of number 7 (Ba3Sr12Li)?
  0.0250 eV/atom